VTc3O | the Alexandria database | PBE+U | optimized geometry; ρ = 8.92 g/cm³; ΔE to the lowest computed polymorph = 0.000 eV per atom; VASP energy = -42.4 eV per cell
1.0
4.0653 0.0000 0.0000
0.0000 4.0653 0.0000
0.0000 0.0000 4.0653
V Tc O
1 3 1
direct
0.0000 0.0000 0.0000 V
0.0000 0.5000 0.5000 Tc
0.5000 0.0000 0.5000 Tc
0.5000 0.5000 0.0000 Tc
0.5000 0.5000 0.5000 O